Entry 1:
Material: GaCoAs
Method: DFT, GGA-PBE
State: optimized geometry

```
12
Lattice="5.403 0.000 0.000 0.000 6.036 0.000 -2.429 0.000 5.670" Properties=species:S:1:pos:R:3 pbc="T T T"
Ga 0.008 1.067 1.828
Ga -1.207 1.951 4.663
Ga 4.181 4.084 1.007
Ga 2.967 4.969 3.842
Co 0.122 3.219 2.961
Co 1.336 5.835 0.126
Co 1.639 0.201 5.544
Co 2.853 2.817 2.709
As 1.412 3.649 1.069
As 0.198 5.404 3.904
As 2.777 0.631 1.766
As 1.563 2.386 4.601
```

Calculated values
Space group: P2_1/c, No. 14
ΔH_f (0 K) in eV per atom: -0.17
Energy above the lowest structure with this stoichiometry in eV per atom: 0.035
Magnetic moment in μB per formula unit: 0.00

***

Entry 2:
Material: Ga4Co2As
Method: DFT, GGA-PBE
State: optimized geometry

```
7
Lattice="-2.442 2.442 5.936 2.442 -2.442 5.936 2.442 2.442 -5.936" Properties=species:S:1:pos:R:3 pbc="T T T"
Ga 2.442 0.000 0.000
Ga 0.000 0.000 2.566
Ga 0.000 2.442 0.000
Ga 0.000 0.000 9.306
Co 0.000 0.000 4.858
Co 0.000 0.000 7.014
As 0.000 0.000 0.000
```

Calculated values
Space group: I4/mmm, No. 139
ΔH_f (0 K) in eV per atom: 0.54
Magnetic moment in μB per formula unit: 0.00

***

Entry 3:
Material: GaCoAs2
Method: DFT, GGA-PBE
State: optimized geometry

```
4
Lattice="1.421 0.820 10.061 -1.421 0.820 10.061 0.000 -1.641 10.061" Properties=species:S:1:pos:R:3 pbc="T T T"
Ga 0.000 0.000 0.000
Co 0.000 0.000 15.091
As 0.000 0.000 12.799
As 0.000 0.000 17.383
```

Calculated values
Space group: R-3m, No. 166
ΔH_f (0 K) in eV per atom: 0.39
Magnetic moment in μB per formula unit: 1.07

***

Entry 4:
Material: Ga2CoAsIr
Method: DFT, GGA-PBE
State: optimized geometry

```
5
Lattice="4.722 0.000 0.000 0.000 4.722 0.000 0.000 0.000 4.742" Properties=species:S:1:pos:R:3 pbc="T T T"
Ga 0.000 2.361 0.000
Ga 2.361 0.000 0.000
Co 0.000 0.000 2.371
As 2.361 2.361 2.371
Ir 0.000 0.000 0.000
```

Calculated values
Space group: P4/mmm, No. 123
ΔH_f (0 K) in eV per atom: 0.52
Magnetic moment in μB per formula unit: 2.09

***

Entry 5:
Material: K2GaCoAs
Method: DFT, GGA-PBE
State: optimized geometry

```
5
Lattice="6.309 0.000 0.000 0.000 6.309 0.000 0.000 0.000 4.338" Properties=species:S:1:pos:R:3 pbc="T T T"
K 0.000 3.154 0.000
K 3.154 0.000 0.000
Ga 0.000 0.000 2.169
Co 3.154 3.154 2.169
As 3.154 3.154 0.000
```

Calculated values
Space group: P4/mmm, No. 123
ΔH_f (0 K) in eV per atom: 0.30
Magnetic moment in μB per formula unit: 0.04

***

Entry 6:
Material: GaCo2NiAs
Method: DFT, GGA-PBE
State: optimized geometry

```
5
Lattice="4.498 0.000 0.000 0.000 4.498 0.000 0.000 0.000 4.235" Properties=species:S:1:pos:R:3 pbc="T T T"
Ga 0.000 0.000 0.000
Co 0.000 2.249 2.117
Co 2.249 0.000 2.117
Ni 2.249 2.249 2.117
As 2.249 2.249 0.000
```

Calculated values
Space group: P4/mmm, No. 123
ΔH_f (0 K) in eV per atom: 0.74
Magnetic moment in μB per formula unit: 4.20